Ba8CuRh2 PBE relaxed; M_tot = 0.00 μB per atom; E_tot = -3.15 eV per atom; N(E_F) = 8.795 states/eV per cell; formation energy from the elements = -43 meV per atom; excess energy over the best structure of this formula in the dataset = 0 meV/atom
1.0
8.634 -4.065 0.000
8.634 4.065 0.000
-2.254 0.000 7.187
Ba Cu Rh
8 1 2
direct
0.081 0.081 0.284
0.124 0.608 0.146
0.321 0.321 0.618
0.392 0.876 0.854
0.608 0.124 0.146
0.679 0.679 0.382
0.876 0.392 0.854
0.919 0.919 0.716
0.500 0.500 0.000
0.231 0.231 0.190
0.769 0.769 0.810